HfTiFeRe (PBE, relaxed); formation enthalpy at 0 K = -300 meV per atom; excess energy over the best structure of this formula in the dataset = 14 meV per atom; VASP energy = -0.734 Ry per atom; space-group type = Pmmm; density of states at the Fermi level = 3.4 states/eV/cell
1.0
3.148 0.000 0.000
0.000 4.348 0.000
0.000 0.000 4.520
Hf Ti Fe Re
1 1 1 1
Direct
0.000 0.000 0.000
0.000 0.500 0.500
0.500 0.500 0.000
0.500 0.000 0.500

TaBeCu (PBE, relaxed); formation enthalpy at 0 K = -62 meV per atom; excess energy over the best structure of this formula in the dataset = 31 meV per atom; VASP energy = -0.487 Ry per atom; space-group type = Imma; density of states at the Fermi level = 6.2 states/eV/cell
1.0
-2.388 2.393 3.325
2.388 -2.393 3.325
2.388 2.393 -3.325
Ta Be Cu
2 2 2
Direct
0.369 0.119 0.250
0.631 0.881 0.750
0.000 0.000 0.500
0.000 0.500 0.000
0.000 0.500 0.500
0.500 0.500 0.000

ThHgH (PBE, relaxed); excess energy over the best structure of this formula in the dataset = 333 meV per atom; VASP energy = -0.275 Ry per atom; space-group type = I4mm; density of states at the Fermi level = 2.3 states/eV/cell
1.0
-1.673 1.673 5.673
1.673 -1.673 5.673
1.673 1.673 -5.673
Th Hg H
1 1 1
Direct
0.000 0.000 0.000
0.282 0.282 0.000
0.546 0.546 0.000

AcCeTm2Sb4 (PBE, relaxed); VASP energy = -0.405 Ry per atom; raw formation energy = -1.075 eV per atom; space-group type = P2/m; density of states at the Fermi level = 6.8 states/eV/cell
1.0
7.770 0.000 0.000
0.000 4.508 0.000
-2.609 0.000 7.363
Ac Ce Tm Sb
1 1 2 4
Direct
0.000 0.000 0.000
0.000 0.500 0.500
0.500 0.000 0.500
0.500 0.500 0.000
0.266 0.000 0.748
0.271 0.500 0.265
0.729 0.500 0.735
0.734 0.000 0.252

Ba2SbPb (PBE, relaxed); excess energy over the best structure of this formula in the dataset = 47 meV per atom; VASP energy = -0.264 Ry per atom; raw formation energy = -0.677 eV per atom; space-group type = Fmmm; density of states at the Fermi level = 2.2 states/eV/cell
1.0
0.000 3.942 4.930
3.923 0.000 4.930
3.923 3.942 0.000
Ba Sb Pb
2 1 1
Direct
0.250 0.250 0.250
0.750 0.750 0.750
0.000 0.000 0.000
0.500 0.500 0.500

RbIn5Au2 (PBE, relaxed); formation enthalpy at 0 K = -209 meV per atom; VASP energy = -0.210 Ry per atom; space-group type = Immm; density of states at the Fermi level = 3.1 states/eV/cell
1.0
-2.306 4.125 5.729
2.306 -4.125 5.729
2.306 4.125 -5.729
Rb In Au
1 5 2
Direct
0.000 0.000 0.000
0.158 0.351 0.807
0.455 0.649 0.807
0.500 0.000 0.500
0.545 0.351 0.193
0.842 0.649 0.193
0.257 0.757 0.500
0.743 0.243 0.500

HgSeCl2 (PBE, relaxed); excess energy over the best structure of this formula in the dataset = 214 meV per atom; VASP energy = -0.142 Ry per atom; raw formation energy = -0.067 eV per atom; space-group type = C2/m; density of states at the Fermi level = 0.2 states/eV/cell
1.0
6.258 -1.749 0.000
6.258 1.749 0.000
-4.448 0.000 6.287
Hg Se Cl
1 1 2
Direct
0.000 0.000 0.000
0.500 0.500 0.500
0.172 0.172 0.669
0.828 0.828 0.331

PrHfS4 (PBE, relaxed); VASP energy = -0.483 Ry per atom; raw formation energy = -1.361 eV per atom; space-group type = P2_1/c; density of states at the Fermi level = 6.9 states/eV/cell
1.0
6.312 0.000 0.000
0.000 6.789 0.000
-0.375 0.000 6.614
Pr Hf S
2 2 8
Direct
0.000 0.000 0.000
0.000 0.500 0.500
0.500 0.000 0.500
0.500 0.500 0.000
0.131 0.117 0.413
0.131 0.383 0.913
0.381 0.676 0.314
0.381 0.824 0.814
0.619 0.176 0.186
0.619 0.324 0.686
0.869 0.617 0.087
0.869 0.883 0.587